Record 1
# HoTm8Th2

Crystalline HoTm8Th2 at its relaxed geometry (GGA-PBE, Alexandria).

Cell: 5.8858 8.9354 9.1039 Å, 60.61 74.11 56.08°
With the nearest neighbours (Å) after each atom.
Fractional coordinates of all 11 atoms:
Ho 0.5000 0.0000 0.0000  4 Tm 3.31
Tm 0.8227 0.0998 0.2355  4 Tm 3.18-3.50, 2 Th 3.40-3.44
Tm 0.8227 0.3353 0.7645  4 Tm 3.18-3.50, 2 Th 3.40-3.44
Tm 0.2961 0.4282 0.0000  4 Tm 2.97-3.29, 1 Ho 3.31
Tm 0.5000 0.7917 0.4167  1 Ho 3.31, 2 Th 3.33, 6 Tm 3.50-3.68
Tm 0.5000 0.2083 0.5833  1 Ho 3.31, 2 Th 3.33, 6 Tm 3.50-3.68
Tm 0.7039 0.5718 0.0000  4 Tm 2.97-3.29, 1 Ho 3.31
Tm 0.1773 0.6647 0.2355  4 Tm 3.18-3.50, 2 Th 3.40-3.44
Tm 0.1773 0.9002 0.7645  4 Tm 3.18-3.50, 2 Th 3.40-3.44
Th 0.0000 0.3065 0.3869  8 Tm 3.33-3.44
Th 0.0000 0.6935 0.6131  8 Tm 3.33-3.44

## Properties
Total magnetization: 0.00 μB per cell
Energy of formation: 0.203 eV per atom
ρ: 9.5 g cm⁻³
Total DFT energy (no corrections): -52.96 eV for the cell shown
D(E_F): 1.2399 states/eV per atom

***

Record 2
# Ho6Tm12Th

Crystalline Ho6Tm12Th at its relaxed geometry (GGA-PBE, Alexandria).

Cell: 8.6011 8.6011 8.6011 Å, 99.84 99.84 99.84°
With the nearest neighbours (Å) after each atom.
Fractional coordinates of all 19 atoms:
Ho 0.8920 0.3365 0.8920  3 Ho 3.17-3.51, 2 Tm 3.28, 1 Th 3.41
Ho 0.8920 0.8920 0.3365  3 Ho 3.17-3.51, 2 Tm 3.28, 1 Th 3.41
Ho 0.3365 0.8920 0.8920  3 Ho 3.17-3.51, 2 Tm 3.28, 1 Th 3.41
Ho 0.1080 0.1080 0.6635  3 Ho 3.17-3.51, 2 Tm 3.28, 1 Th 3.41
Ho 0.1080 0.6635 0.1080  3 Ho 3.17-3.51, 2 Tm 3.28, 1 Th 3.41
Ho 0.6635 0.1080 0.1080  3 Ho 3.17-3.51, 2 Tm 3.28, 1 Th 3.41
Tm 0.7563 0.2437 0.5000  4 Ho 3.28-3.58, 6 Tm 3.31-3.51
Tm 0.3460 0.0768 0.3460  6 Tm 3.31-3.54, 2 Ho 3.68
Tm 0.3460 0.3460 0.0768  6 Tm 3.31-3.54, 2 Ho 3.68
Tm 0.9232 0.6540 0.6540  6 Tm 3.31-3.54, 2 Ho 3.68
Tm 0.6540 0.6540 0.9232  6 Tm 3.31-3.54, 2 Ho 3.68
Tm 0.6540 0.9232 0.6540  6 Tm 3.31-3.54, 2 Ho 3.68
Tm 0.5000 0.7563 0.2437  4 Ho 3.28-3.58, 6 Tm 3.31-3.51
Tm 0.2437 0.5000 0.7563  4 Ho 3.28-3.58, 6 Tm 3.31-3.51
Tm 0.2437 0.7563 0.5000  4 Ho 3.28-3.58, 6 Tm 3.31-3.51
Tm 0.5000 0.2437 0.7563  4 Ho 3.28-3.58, 6 Tm 3.31-3.51
Tm 0.7563 0.5000 0.2437  4 Ho 3.28-3.58, 6 Tm 3.31-3.51
Tm 0.0768 0.3460 0.3460  6 Tm 3.31-3.54, 2 Ho 3.68
Th 0.0000 0.0000 0.0000  6 Ho 3.41, 6 Tm 3.71

## Properties
Total magnetization: 0.00 μB per cell
Energy of formation: 0.225 eV per atom
ρ: 8.9 g cm⁻³
Total DFT energy (no corrections): -84.27 eV for the cell shown
D(E_F): 1.8633 states/eV per atom

***

Record 3
# Ho2Tm4Th

Crystalline Ho2Tm4Th at its relaxed geometry (GGA-PBE, Alexandria).

Cell: 3.4072 8.5643 8.6122 Å, 116.86 101.41 90.00°
With the nearest neighbours (Å) after each atom.
Fractional coordinates of all 7 atoms:
Ho 0.7774 0.8497 0.5549  1 Th 3.36, 4 Ho 3.41-3.55, 6 Tm 3.43-3.58
Ho 0.2226 0.1503 0.4451  1 Th 3.36, 4 Ho 3.41-3.55, 6 Tm 3.43-3.58
Tm 0.9206 0.3005 0.8412  5 Tm 3.23-3.52, 1 Th 3.41, 3 Ho 3.43-3.48
Tm 0.0794 0.6995 0.1588  5 Tm 3.23-3.52, 1 Th 3.41, 3 Ho 3.43-3.48
Tm 0.6321 0.4000 0.2642  6 Tm 3.41-3.68, 3 Ho 3.49-3.58, 2 Th 3.55
Tm 0.3679 0.6000 0.7358  6 Tm 3.41-3.68, 3 Ho 3.49-3.58, 2 Th 3.55
Th 0.0000 0.0000 0.0000  2 Ho 3.36, 6 Tm 3.41-3.55, 2 Th 3.41

## Properties
Total magnetization: 0.00 μB per cell
Energy of formation: 0.142 eV per atom
ρ: 9.4 g cm⁻³
Total DFT energy (no corrections): -33.47 eV for the cell shown
D(E_F): 1.8515 states/eV per atom

***

Record 4
# HoTm5Th

Crystalline HoTm5Th at its relaxed geometry (GGA-PBE, Alexandria).

Cell: 6.0696 9.1787 8.5156 Å, 86.18 78.37 70.69°
With the nearest neighbours (Å) after each atom.
Fractional coordinates of all 14 atoms:
Ho 0.5134 0.9732 0.7500  2 Th 3.35, 6 Tm 3.45-3.66
Ho 0.4866 0.0268 0.2500  2 Th 3.35, 6 Tm 3.45-3.66
Tm 0.3888 0.6259 0.8536  8 Tm 3.27-3.63, 1 Ho 3.53, 1 Th 3.60
Tm 0.4591 0.3130 0.5389  5 Tm 3.22-3.59, 1 Ho 3.45, 1 Th 3.55
Tm 0.0147 0.3741 0.3536  8 Tm 3.27-3.63, 1 Ho 3.53, 1 Th 3.60
Tm 0.8509 0.2982 0.7500  6 Tm 3.22-3.41, 2 Th 3.35
Tm 0.2280 0.3130 0.9611  5 Tm 3.22-3.59, 1 Ho 3.45, 1 Th 3.55
Tm 0.7720 0.6870 0.0389  5 Tm 3.22-3.59, 1 Ho 3.45, 1 Th 3.55
Tm 0.1491 0.7018 0.2500  6 Tm 3.22-3.41, 2 Th 3.35
Tm 0.9853 0.6259 0.6464  8 Tm 3.27-3.63, 1 Ho 3.53, 1 Th 3.60
Tm 0.5409 0.6870 0.4611  5 Tm 3.22-3.59, 1 Ho 3.45, 1 Th 3.55
Tm 0.6112 0.3741 0.1464  8 Tm 3.27-3.63, 1 Ho 3.53, 1 Th 3.60
Th 0.0000 0.0000 0.0000  2 Ho 3.35, 6 Tm 3.35-3.60
Th 0.0000 0.0000 0.5000  2 Ho 3.35, 6 Tm 3.35-3.60

## Properties
Total magnetization: 0.00 μB per cell
Energy of formation: 0.196 eV per atom
ρ: 9.4 g cm⁻³
Total DFT energy (no corrections): -65.97 eV for the cell shown
D(E_F): 1.6804 states/eV per atom

***

Energy relative to the lowest polymorph listed for this composition (computed, eV per formula unit): 0.15, 1.35, 0.87, 0.00